# YBeTl PBEsol relaxed
data_YBeTl
_chemical_formula_sum 'Y1 Be1 Tl1'
_symmetry_space_group_name_H-M 'P 1'
_symmetry_Int_Tables_number 1
_symmetry_space_group_name_Hall 'P 1'
_cell_length_a 4.359
_cell_length_b 4.359
_cell_length_c 3.723
_cell_angle_alpha 90.00
_cell_angle_beta 90.00
_cell_angle_gamma 120.00
loop_
_atom_site_label
_atom_site_type_symbol
_atom_site_fract_x
_atom_site_fract_y
_atom_site_fract_z
_atom_site_occupancy
Y1 Y 0.000 0.000 0.000 1
Be1 Be 0.333 0.667 0.500 1
Tl1 Tl 0.667 0.333 0.500 1
# Energy above the lowest structure with this stoichiometry ... 0.000 eV per atom
# Symmetry ... P-6m2 (187)
# Crystal system ... hexagonal

=====

# CaZnI2O PBEsol relaxed
data_CaZnI2O
_chemical_formula_sum 'Ca1 Zn1 I2 O1'
_symmetry_space_group_name_H-M 'P 1'
_symmetry_Int_Tables_number 1
_symmetry_space_group_name_Hall 'P 1'
_cell_length_a 5.671
_cell_length_b 5.671
_cell_length_c 3.754
_cell_angle_alpha 90.00
_cell_angle_beta 90.00
_cell_angle_gamma 90.00
loop_
_atom_site_label
_atom_site_type_symbol
_atom_site_fract_x
_atom_site_fract_y
_atom_site_fract_z
_atom_site_occupancy
Ca1 Ca 0.000 0.000 0.000 1
Zn1 Zn 0.500 0.500 0.500 1
I1 I 0.000 0.500 0.500 1
I2 I 0.500 0.000 0.500 1
O1 O 0.500 0.500 0.000 1
# Energy above the lowest structure with this stoichiometry ... 0.000 eV per atom
# Raw formation energy ... -4.7 eV/f.u.
# Symmetry ... P4/mmm (123)
# Crystal system ... tetragonal

=====

# SrInPt3 PBEsol relaxed
data_SrInPt3
_chemical_formula_sum 'Sr1 In1 Pt3'
_symmetry_space_group_name_H-M 'P 1'
_symmetry_Int_Tables_number 1
_symmetry_space_group_name_Hall 'P 1'
_cell_length_a 4.956
_cell_length_b 4.956
_cell_length_c 4.956
_cell_angle_alpha 90.00
_cell_angle_beta 90.00
_cell_angle_gamma 90.00
loop_
_atom_site_label
_atom_site_type_symbol
_atom_site_fract_x
_atom_site_fract_y
_atom_site_fract_z
_atom_site_occupancy
Sr1 Sr 0.000 0.000 0.000 1
In1 In 0.500 0.500 0.500 1
Pt1 Pt 0.000 0.500 0.500 1
Pt2 Pt 0.500 0.000 0.500 1
Pt3 Pt 0.500 0.500 0.000 1
# Energy above the lowest structure with this stoichiometry ... 0.000 eV per atom
# Symmetry ... Pm-3m (221)
# Crystal system ... cubic

=====

# AlAsPtBr2 PBEsol relaxed
data_AlAsPtBr2
_chemical_formula_sum 'Al1 As1 Pt1 Br2'
_symmetry_space_group_name_H-M 'P 1'
_symmetry_Int_Tables_number 1
_symmetry_space_group_name_Hall 'P 1'
_cell_length_a 4.701
_cell_length_b 4.701
_cell_length_c 5.137
_cell_angle_alpha 90.00
_cell_angle_beta 90.00
_cell_angle_gamma 90.00
loop_
_atom_site_label
_atom_site_type_symbol
_atom_site_fract_x
_atom_site_fract_y
_atom_site_fract_z
_atom_site_occupancy
Al1 Al 0.000 0.000 0.000 1
As1 As 0.000 0.000 0.500 1
Pt1 Pt 0.500 0.500 0.500 1
Br1 Br 0.000 0.500 0.000 1
Br2 Br 0.500 0.000 0.000 1
# Raw formation energy ... 3.0 eV/f.u.
# Symmetry ... P4/mmm (123)
# Crystal system ... tetragonal

=====

# YTlCd2 PBEsol relaxed
data_YTlCd2
_chemical_formula_sum 'Y1 Tl1 Cd2'
_symmetry_space_group_name_H-M 'P 1'
_symmetry_Int_Tables_number 1
_symmetry_space_group_name_Hall 'P 1'
_cell_length_a 3.828
_cell_length_b 3.828
_cell_length_c 6.642
_cell_angle_alpha 90.00
_cell_angle_beta 90.00
_cell_angle_gamma 90.00
loop_
_atom_site_label
_atom_site_type_symbol
_atom_site_fract_x
_atom_site_fract_y
_atom_site_fract_z
_atom_site_occupancy
Y1 Y 0.000 0.000 0.000 1
Tl1 Tl 0.000 0.000 0.500 1
Cd1 Cd 0.500 0.500 0.252 1
Cd2 Cd 0.500 0.500 0.748 1
# Energy above the lowest structure with this stoichiometry ... 0.137 eV per atom
# Symmetry ... P4/mmm (123)
# Crystal system ... tetragonal

=====

# CsRb2TiF6 PBEsol relaxed
data_CsRb2TiF6
_chemical_formula_sum 'Cs1 Rb2 Ti1 F6'
_symmetry_space_group_name_H-M 'P 1'
_symmetry_Int_Tables_number 1
_symmetry_space_group_name_Hall 'P 1'
_cell_length_a 6.640
_cell_length_b 6.640
_cell_length_c 6.640
_cell_angle_alpha 60.00
_cell_angle_beta 60.00
_cell_angle_gamma 60.00
loop_
_atom_site_label
_atom_site_type_symbol
_atom_site_fract_x
_atom_site_fract_y
_atom_site_fract_z
_atom_site_occupancy
Cs1 Cs 0.000 0.000 0.000 1
Rb1 Rb 0.250 0.250 0.250 1
Rb2 Rb 0.750 0.750 0.750 1
Ti1 Ti 0.500 0.500 0.500 1
F1 F 0.291 0.291 0.709 1
F2 F 0.291 0.709 0.291 1
F3 F 0.291 0.709 0.709 1
F4 F 0.709 0.291 0.291 1
F5 F 0.709 0.291 0.709 1
F6 F 0.709 0.709 0.291 1
# Raw formation energy ... -29.8 eV/f.u.
# Symmetry ... Fm-3m (225)
# Crystal system ... cubic

=====

# MgCoTc2Cl PBEsol relaxed
data_MgCoTc2Cl
_chemical_formula_sum 'Mg1 Co1 Tc2 Cl1'
_symmetry_space_group_name_H-M 'P 1'
_symmetry_Int_Tables_number 1
_symmetry_space_group_name_Hall 'P 1'
_cell_length_a 4.328
_cell_length_b 4.328
_cell_length_c 4.027
_cell_angle_alpha 90.00
_cell_angle_beta 90.00
_cell_angle_gamma 90.00
loop_
_atom_site_label
_atom_site_type_symbol
_atom_site_fract_x
_atom_site_fract_y
_atom_site_fract_z
_atom_site_occupancy
Mg1 Mg 0.000 0.000 0.000 1
Co1 Co 0.500 0.500 0.000 1
Tc1 Tc 0.000 0.500 0.500 1
Tc2 Tc 0.500 0.000 0.500 1
Cl1 Cl 0.500 0.500 0.500 1
# Raw formation energy ... 4.0 eV/f.u.
# Symmetry ... P4/mmm (123)
# Crystal system ... tetragonal

=====

# Al2CrHg PBEsol relaxed
data_Al2CrHg
_chemical_formula_sum 'Al2 Cr1 Hg1'
_symmetry_space_group_name_H-M 'P 1'
_symmetry_Int_Tables_number 1
_symmetry_space_group_name_Hall 'P 1'
_cell_length_a 2.931
_cell_length_b 2.931
_cell_length_c 7.730
_cell_angle_alpha 90.00
_cell_angle_beta 90.00
_cell_angle_gamma 90.00
loop_
_atom_site_label
_atom_site_type_symbol
_atom_site_fract_x
_atom_site_fract_y
_atom_site_fract_z
_atom_site_occupancy
Al1 Al 0.000 0.000 0.000 1
Al2 Al 0.500 0.500 0.257 1
Cr1 Cr 0.000 0.000 0.460 1
Hg1 Hg 0.500 0.500 0.717 1
# Symmetry ... P4mm (99)
# Energy ... -18.04 eV/cell
# Crystal system ... tetragonal